# 1
Below is GdHfCuOs after structural relaxation, with properties calculated at the PBE level.

Values from the calculation:
D(E_F)   0.776 states/eV/atom
Calculated density   12.955 g/cm³
Total DFT energy (no corrections)   -161.046 eV for the cell shown
Calculated volume   302.2 Å³ per cell

Cell lengths 6.7110, 6.7110, 6.7110 Å; angles 90.00, 90.00, 90.00 degrees
Closest atoms and distances in Å follow each position.
Space group F-43m (No. 216)
Unique sites:
Gd1 0.0000 0.0000 0.0000 (multiplicity 4)  4 Os 2.91, 4 Cu 2.91
Hf1 0.0000 0.0000 0.5000 (multiplicity 4)  4 Cu 2.91, 4 Os 2.91
Cu1 0.2500 0.2500 0.2500 (multiplicity 4)  4 Hf 2.91, 4 Gd 2.91
Os1 0.2500 0.2500 0.7500 (multiplicity 4)  4 Hf 2.91, 4 Gd 2.91

---

# 2
Below is CoSi2Au after structural relaxation, with properties calculated at the PBE level.

Values from the calculation:
D(E_F)   0.724 states/eV/atom
Calculated density   9.364 g/cm³
Total DFT energy (no corrections)   -20.289 eV for the cell shown
Calculated volume   55.3 Å³ per cell

Cell lengths 4.0284, 4.0284, 3.4100 Å; angles 90.00, 90.00, 90.00 degrees
Closest atoms and distances in Å follow each position.
Space group P4/mmm (No. 123)
Unique sites:
Co1 0.0000 0.0000 0.0000 (multiplicity 1)  8 Si 2.64, 4 Au 2.85
Si1 0.0000 0.5000 0.5000 (multiplicity 2)  4 Co 2.64, 4 Au 2.64, 4 Si 2.85
Au1 0.5000 0.5000 0.0000 (multiplicity 1)  8 Si 2.64, 4 Co 2.85

---

# 3
Below is Ac2InGa4Rh3 after structural relaxation, with properties calculated at the PBE level.

Values from the calculation:
D(E_F)   0.867 states/eV/atom
Calculated density   9.117 g/cm³
Total DFT energy (no corrections)   -51.681 eV for the cell shown
Calculated volume   210.6 Å³ per cell

Cell lengths 4.3717, 4.3717, 11.0208 Å; angles 90.00, 90.00, 90.00 degrees
Closest atoms and distances in Å follow each position.
Space group P-4m2 (No. 115)
Unique sites:
Ac1 0.0000 0.5000 0.2388 (multiplicity 2)  6 Rh 3.35-3.61, 8 Ga 3.35-3.42, 2 In 3.61
In1 0.0000 0.0000 0.5000 (multiplicity 1)  4 Ga 2.70
Ga1 0.0000 0.0000 0.0000 (multiplicity 1)  4 Rh 2.57
Ga2 0.0000 0.5000 0.6440 (multiplicity 2)  3 Rh 2.58-2.70, 2 In 2.70
Ga3 0.5000 0.5000 0.0000 (multiplicity 1)  4 Rh 2.57
Rh1 0.0000 0.5000 0.8779 (multiplicity 2)  5 Ga 2.57-2.58
Rh2 0.5000 0.5000 0.5000 (multiplicity 1)  4 Ga 2.70

---

# 4
Below is ZrMnNb after structural relaxation, with properties calculated at the PBE level.

Values from the calculation:
D(E_F)   0.911 states/eV/atom
Calculated density   7.599 g/cm³
Total DFT energy (no corrections)   -112.090 eV for the cell shown
Calculated volume   209.0 Å³ per cell

Cell lengths 5.2882, 5.5593, 7.1081 Å; angles 90.00, 90.00, 90.00 degrees
Closest atoms and distances in Å follow each position.
Space group Imma (No. 74)
Unique sites:
Zr1 0.0000 0.2500 0.1146 (multiplicity 4)  6 Mn 2.91-3.22, 6 Nb 3.07-3.10, 2 Zr 3.22
Mn1 0.2500 0.2500 0.7500 (multiplicity 4)  4 Nb 2.61, 2 Mn 2.64, 2 Zr 2.91
Nb1 0.0000 0.0000 0.5000 (multiplicity 4)  4 Mn 2.61, 2 Nb 2.78

---

# 5
Below is Sm2BeAl after structural relaxation, with properties calculated at the PBE level.

Values from the calculation:
D(E_F)   0.717 states/eV/atom
Calculated density   5.228 g/cm³
Total DFT energy (no corrections)   -43.421 eV for the cell shown
Calculated volume   320.9 Å³ per cell

Cell lengths 3.3975, 3.3975, 32.0962 Å; angles 90.00, 90.00, 120.00 degrees
Closest atoms and distances in Å follow each position.
Space group R-3m (No. 166, hexagonal axes)
Unique sites:
Sm1 0.0000 0.0000 0.0927 (multiplicity 6)  1 Be 2.97, 3 Al 3.08
Be1 0.0000 0.0000 0.0000 (multiplicity 3)  2 Sm 2.97
Al1 0.0000 0.0000 0.5000 (multiplicity 3)  6 Sm 3.08, 6 Al 3.40

---

# 6
Below is CuNi2As after structural relaxation, with properties calculated at the PBE level.

Values from the calculation:
D(E_F)   0.694 states/eV/atom
Calculated density   8.223 g/cm³
Total DFT energy (no corrections)   -58.812 eV for the cell shown
Calculated volume   155.0 Å³ per cell

Cell lengths 2.7574, 2.7574, 23.5392 Å; angles 90.00, 90.00, 120.00 degrees
Closest atoms and distances in Å follow each position.
Space group R3m (No. 160, hexagonal axes)
Unique sites:
Cu1 0.0000 0.0000 0.0000 (multiplicity 3)  3 Ni 2.51, 3 As 2.70, 6 Cu 2.76
Ni1 0.0000 0.0000 0.2510 (multiplicity 3)  9 Ni 2.51-2.76, 3 Cu 2.51
Ni2 0.0000 0.0000 0.5021 (multiplicity 3)  3 As 2.40, 3 Ni 2.51
As1 0.0000 0.0000 0.7594 (multiplicity 3)  3 Ni 2.40